Record 1
Below is CrSi2Au after structural relaxation, with properties calculated at the GGA-PBE level.

D(E_F) = 2.31 states/eV/cell
ΔE_f (raw) = -0.05 eV per atom
space group = Pmmm (47)
crystal system = orthorhombic

Cell lengths 2.6406, 3.0560, 7.4038 Å; angles 90.00, 90.00, 90.00 degrees
With the nearest neighbours (Å) after each atom.
Fractional coordinates of all 4 atoms:
Cr 0.0000 0.0000 0.0000  8 Si 2.47, 2 Cr 2.64
Si 0.5000 0.5000 0.1927  4 Cr 2.47, 2 Au 2.63, 2 Si 2.64
Si 0.5000 0.5000 0.8073  4 Cr 2.47, 2 Au 2.63, 2 Si 2.64
Au 0.0000 0.5000 0.5000  4 Si 2.63, 2 Au 2.64


Record 2
Below is CrSi2Au after structural relaxation, with properties calculated at the GGA-PBE level.

D(E_F) = 1.05 states/eV/cell
ΔE_f (raw) = 0.23 eV per atom
space group = I4/mmm (139)
crystal system = tetragonal

Cell lengths 4.6843, 4.6843, 4.6843 Å; angles 131.36, 131.36, 71.24 degrees
With the nearest neighbours (Å) after each atom.
Fractional coordinates of all 4 atoms:
Cr 0.0000 0.0000 0.0000  8 Si 2.71, 4 Au 2.73
Si 0.2500 0.7500 0.5000  4 Cr 2.71, 4 Au 2.71, 4 Si 2.73
Si 0.7500 0.2500 0.5000  4 Cr 2.71, 4 Au 2.71, 4 Si 2.73
Au 0.5000 0.5000 0.0000  8 Si 2.71, 4 Cr 2.73